Entry 1:
First-principles (GGA-PBE) data for a relaxed V2CoAu crystal, as listed in Alexandria via LeMat-Bulk.

Cell and atoms, written as POSCAR:
```
V2CoAu
1.0
3.943 0.000 0.000
0.000 3.702 0.000
0.000 0.000 3.702
Au V Co
1 2 1
Direct
0.500 0.500 0.500
0.000 0.000 0.500
0.000 0.500 0.000
0.500 0.000 0.000
```

Calculated values
E_form (kcal/mol of atoms): -0.47
Crystal system: tetragonal


Entry 2:
First-principles (GGA-PBE) data for a relaxed ScHgAsP2 crystal, as listed in Alexandria via LeMat-Bulk.

Cell and atoms, written as POSCAR:
```
ScHgAsP2
1.0
-3.088 -1.044 -3.503
-0.801 -4.579 2.071
-3.577 1.809 2.614
P As Hg Sc
2 1 1 1
Direct
0.000 0.000 0.500
0.500 0.000 0.000
0.000 0.000 0.000
0.500 0.500 0.500
0.000 0.500 0.000
```

Calculated values
E_form (kcal/mol of atoms): 9.12
Crystal system: tetragonal


Entry 3:
First-principles (GGA-PBE) data for a relaxed HfAl6Ag crystal, as listed in Alexandria via LeMat-Bulk.

Cell and atoms, written as POSCAR:
```
HfAl6Ag
1.0
-3.819 3.395 0.825
-2.634 -2.421 -3.741
-7.486 -2.631 1.409
Hf Ag Al
1 1 6
Direct
0.500 0.500 0.500
0.000 0.000 0.000
0.826 0.178 0.314
0.822 0.174 0.686
0.428 0.429 0.205
0.174 0.822 0.686
0.571 0.572 0.795
0.178 0.826 0.314
```

Calculated values
E_form (kcal/mol of atoms): 0.33
Crystal system: monoclinic


Entry 4:
First-principles (GGA-PBE) data for a relaxed CsTl2SbCl6 crystal, as listed in Alexandria via LeMat-Bulk.

Cell and atoms, written as POSCAR:
```
CsTl2SbCl6
1.0
8.008 0.005 0.001
4.009 6.932 0.001
4.007 2.313 6.905
Tl Cl Sb Cs
2 6 1 1
Direct
0.531 0.531 0.406
0.013 0.013 0.960
0.667 0.151 0.785
0.152 0.396 0.785
0.232 0.977 0.233
0.396 0.667 0.785
0.976 0.559 0.232
0.559 0.232 0.233
0.325 0.325 0.026
0.810 0.810 0.571
```

Calculated values
Crystal system: triclinic
Formation energy without anion corrections (eV per atom): -1.17